# PBE-GGA TbDy5Er4, optimized geometry
data_TbDy5Er4
_chemical_formula_sum 'Tb1 Dy5 Er4'
_symmetry_space_group_name_H-M 'P 1'
_symmetry_Int_Tables_number 1
_symmetry_space_group_name_Hall 'P 1'
_cell_length_a 6.256
_cell_length_b 7.794
_cell_length_c 7.794
_cell_angle_alpha 80.73
_cell_angle_beta 66.34
_cell_angle_gamma 66.34
loop_
_atom_site_label
_atom_site_type_symbol
_atom_site_fract_x
_atom_site_fract_y
_atom_site_fract_z
Tb1 Tb 0.222 0.000 0.000
Dy1 Dy 0.805 0.378 0.913
Dy2 Dy 0.183 0.913 0.622
Dy3 Dy 0.718 0.087 0.378
Dy4 Dy 0.096 0.622 0.087
Dy5 Dy 0.680 0.000 0.000
Er1 Er 0.403 0.395 0.702
Er2 Er 0.798 0.702 0.605
Er3 Er 0.105 0.298 0.395
Er4 Er 0.499 0.605 0.298
# V: 31.88 Å³/atom
# Size of the total moment: 0.000 μB per formula unit
# Crystal system: tetragonal
# Formation enthalpy at 0 K: 0.309 eV per atom